Density functional theory data (GGA-PBE) for a relaxed structure of LaZr2Zn.

Cell lengths 3.3008, 3.3008, 8.9138 Å; angles 90.00, 90.00, 90.00 degrees
Sites, in units of the cell vectors:
Zr (0.5000, 0.5000, 0.2155)
Zr (0.0000, 0.0000, 0.9796)
La (0.0000, 0.0000, 0.5261)
Zn (0.5000, 0.5000, 0.7787)

calculated formation energy: -6.0 kJ per mole of atoms

Density functional theory data (GGA-PBE) for a relaxed structure of La5Sm2In4.

Cell lengths 3.4938, 8.9576, 10.9499 Å; angles 84.96, 90.00, 90.00 degrees
Sites, in units of the cell vectors:
La (0.0000, 0.5000, 0.0000)
La (0.0000, 0.8459, 0.1394)
La (0.0000, 0.4546, 0.3372)
La (0.0000, 0.5454, 0.6628)
La (0.0000, 0.1541, 0.8606)
In (0.5000, 0.7997, 0.8733)
In (0.5000, 0.2003, 0.1267)
In (0.5000, 0.2436, 0.5774)
In (0.5000, 0.7564, 0.4226)
Sm (0.0000, 0.9241, 0.6371)
Sm (0.0000, 0.0759, 0.3629)

calculated formation energy: -31.7 kJ per mole of atoms

Density functional theory data (GGA-PBE) for a relaxed structure of Rb2OsCCl6.

Cell lengths 7.7109, 7.7109, 7.0995 Å; angles 57.11, 57.11, 90.00 degrees
Sites, in units of the cell vectors:
Rb (0.2500, 0.7500, 0.5000)
Rb (0.7500, 0.2500, 0.5000)
Cl (0.7813, 0.7813, 0.0000)
Cl (0.2660, 0.2660, 0.4680)
Cl (0.7340, 0.7340, 0.5320)
Cl (0.2187, 0.7813, 0.0000)
Cl (0.7813, 0.2187, 0.0000)
Cl (0.2187, 0.2187, 0.0000)
Os (0.0000, 0.0000, 0.0000)
C (0.5000, 0.5000, 0.0000)

energy: -3.6625 eV per atom

Density functional theory data (GGA-PBE) for a relaxed structure of Pr2ScC2Cl2.

Cell lengths 4.3323, 4.3323, 8.1570 Å; angles 105.40, 105.40, 90.00 degrees
Sites, in units of the cell vectors:
C (0.0000, 0.5000, 0.0000)
C (0.5000, 0.0000, 0.0000)
Pr (0.6070, 0.6070, 0.2141)
Pr (0.3930, 0.3930, 0.7859)
Cl (0.8127, 0.8127, 0.6254)
Cl (0.1873, 0.1873, 0.3746)
Sc (0.0000, 0.0000, 0.0000)

energy: -6.3545 eV per atom

Density functional theory data (GGA-PBE) for a relaxed structure of LaIn3I.

Cell lengths 5.8932, 5.8932, 5.8932 Å; angles 90.00, 90.00, 90.00 degrees
Sites, in units of the cell vectors:
In (0.0000, 0.5000, 0.0000)
In (0.5000, 0.0000, 0.0000)
In (0.0000, 0.0000, 0.5000)
I (0.0000, 0.0000, 0.0000)
La (0.5000, 0.5000, 0.5000)

E above lowest polymorph: 0.000 eV/atom

Density functional theory data (GGA-PBE) for a relaxed structure of NbTlPRu2.

Cell lengths 4.7188, 5.4122, 4.7188 Å; angles 90.00, 90.00, 90.00 degrees
Sites, in units of the cell vectors:
Ru (0.5000, 0.0000, 0.0000)
Ru (0.0000, 0.0000, 0.5000)
Tl (0.0000, 0.5000, 0.0000)
P (0.5000, 0.5000, 0.5000)
Nb (0.0000, 0.0000, 0.0000)

calculated formation energy: 158.5 kJ per mole of atoms

no.,total magnetization (μB per cell),N(E_F) (states/eV per cell)
1,0.00,3.932
2,0.01,13.275
3,0.99,12.182
4,0.00,2.710
5,0.00,4.137
6,1.47,5.632